Compound: Ta2HgBr
Source: the Alexandria database
Functional: PBE
Structure: optimized geometry

Summary:
DFT total energy, eV per atom: -5.79
M_tot, μB/f.u.: 0.00
ΔE to the lowest computed polymorph, meV per atom: 444
Uncorrected formation energy, kJ/mol of formula units: 243

Lattice parameters (Å, degrees): 5.816 5.816 5.816 150.12 124.00 64.77
Positions (direct):
Ta: 0.232 0.232 0.000
Ta: 0.768 0.768 0.000
Hg: 0.500 0.000 0.500
Br: 0.000 0.500 0.500


Compound: Ta2HgBr
Source: the Alexandria database
Functional: PBE
Structure: optimized geometry

Summary:
DFT total energy, eV per atom: -5.56
M_tot, μB/f.u.: 0.00
ΔE to the lowest computed polymorph, meV per atom: 674
Uncorrected formation energy, kJ/mol of formula units: 332

Lattice parameters (Å, degrees): 5.343 5.343 3.001 90.00 90.00 113.00
Positions (direct):
Ta: 0.000 0.500 0.000
Ta: 0.500 0.000 0.000
Hg: 0.000 0.000 0.500
Br: 0.500 0.500 0.500


Compound: Ta2HgBr
Source: the Alexandria database
Functional: PBE
Structure: optimized geometry

Summary:
DFT total energy, eV per atom: -5.81
M_tot, μB/f.u.: 0.00
ΔE to the lowest computed polymorph, meV per atom: 422
Uncorrected formation energy, kJ/mol of formula units: 235

Lattice parameters (Å, degrees): 5.216 5.216 5.384 104.35 104.35 34.20
Positions (direct):
Ta: 0.244 0.244 0.266
Ta: 0.756 0.756 0.734
Hg: 0.000 0.000 0.500
Br: 0.500 0.500 0.000


Compound: Ta2HgBr
Source: the Alexandria database
Functional: PBE
Structure: optimized geometry

Summary:
DFT total energy, eV per atom: -6.23
M_tot, μB/f.u.: 0.00
ΔE to the lowest computed polymorph, meV per atom: 6
Uncorrected formation energy, kJ/mol of formula units: 74

Lattice parameters (Å, degrees): 10.538 10.538 10.538 17.05 17.05 17.05
Positions (direct):
Ta: 0.000 0.000 0.000
Ta: 0.255 0.255 0.255
Hg: 0.745 0.745 0.745
Br: 0.527 0.527 0.527


Compound: TaHg2Br
Source: the Alexandria database
Functional: PBE
Structure: optimized geometry

Summary:
DFT total energy, eV per atom: -3.49
M_tot, μB/f.u.: 0.00
ΔE to the lowest computed polymorph, meV per atom: 29
Uncorrected formation energy, kJ/mol of formula units: 16

Lattice parameters (Å, degrees): 10.793 10.793 10.793 17.25 17.25 17.25
Positions (direct):
Ta: 0.000 0.000 0.000
Hg: 0.260 0.260 0.260
Hg: 0.503 0.503 0.503
Br: 0.725 0.725 0.725


Compound: TaHg2Br6
Source: the Alexandria database
Functional: PBE
Structure: optimized geometry

Summary:
DFT total energy, eV per atom: -3.11
M_tot, μB/f.u.: 0.00
Uncorrected formation energy, kJ/mol of formula units: -533

Lattice parameters (Å, degrees): 7.733 7.689 12.961 90.00 120.26 90.00
Positions (direct):
Ta: 0.000 0.000 0.000
Ta: 0.000 0.500 0.500
Hg: 0.366 0.152 0.838
Hg: 0.366 0.348 0.338
Hg: 0.634 0.652 0.662
Hg: 0.634 0.848 0.162
Br: 0.031 0.025 0.204
Br: 0.031 0.475 0.704
Br: 0.198 0.719 0.063
Br: 0.198 0.781 0.563
Br: 0.325 0.172 0.076
Br: 0.325 0.328 0.576
Br: 0.675 0.672 0.424
Br: 0.675 0.828 0.924
Br: 0.802 0.219 0.437
Br: 0.802 0.281 0.937
Br: 0.969 0.525 0.296
Br: 0.969 0.975 0.796


Compound: Ta2HgBr
Source: the Alexandria database
Functional: PBE
Structure: optimized geometry

Summary:
DFT total energy, eV per atom: -6.17
M_tot, μB/f.u.: 0.00
ΔE to the lowest computed polymorph, meV per atom: 59
Uncorrected formation energy, kJ/mol of formula units: 95

Lattice parameters (Å, degrees): 3.011 3.011 9.695 90.00 90.00 90.00
Positions (direct):
Ta: 0.000 0.000 0.000
Ta: 0.500 0.500 0.222
Hg: 0.500 0.500 0.773
Br: 0.000 0.000 0.409


Compound: TaHg2Br
Source: the Alexandria database
Functional: PBE
Structure: optimized geometry

Summary:
DFT total energy, eV per atom: -2.74
M_tot, μB/f.u.: 2.52
ΔE to the lowest computed polymorph, meV per atom: 776
Uncorrected formation energy, kJ/mol of formula units: 304

Lattice parameters (Å, degrees): 6.049 6.049 6.049 139.96 139.96 57.91
Positions (direct):
Ta: 0.000 0.000 0.000
Hg: 0.250 0.750 0.500
Hg: 0.750 0.250 0.500
Br: 0.500 0.500 0.000


Compound: Ta2HgBr
Source: the Alexandria database
Functional: PBE
Structure: optimized geometry

Summary:
DFT total energy, eV per atom: -5.92
M_tot, μB/f.u.: 0.00
ΔE to the lowest computed polymorph, meV per atom: 311
Uncorrected formation energy, kJ/mol of formula units: 192

Lattice parameters (Å, degrees): 4.834 5.729 5.729 30.61 90.00 90.00
Positions (direct):
Ta: 0.000 0.000 0.000
Ta: 0.500 0.392 0.392
Hg: 0.000 0.743 0.743
Br: 0.500 0.090 0.090


Compound: Ta2HgBr
Source: the Alexandria database
Functional: PBE
Structure: optimized geometry

Summary:
DFT total energy, eV per atom: -5.37
M_tot, μB/f.u.: 0.00
ΔE to the lowest computed polymorph, meV per atom: 864
Uncorrected formation energy, kJ/mol of formula units: 405

Lattice parameters (Å, degrees): 4.873 4.873 4.873 60.00 60.00 60.00
Positions (direct):
Ta: 0.000 0.000 0.000
Ta: 0.250 0.250 0.250
Hg: 0.500 0.500 0.500
Br: 0.750 0.750 0.750


Compound: TaHg2Br
Source: the Alexandria database
Functional: PBE
Structure: optimized geometry

Summary:
DFT total energy, eV per atom: -3.38
M_tot, μB/f.u.: 0.00
ΔE to the lowest computed polymorph, meV per atom: 142
Uncorrected formation energy, kJ/mol of formula units: 60

Lattice parameters (Å, degrees): 3.101 4.918 7.583 71.18 89.93 90.00
Positions (direct):
Ta: 0.000 0.000 0.000
Hg: 0.500 0.537 0.927
Hg: 0.501 0.172 0.653
Br: 0.499 0.853 0.294


Compound: TaHg2Br
Source: the Alexandria database
Functional: PBE
Structure: optimized geometry

Summary:
DFT total energy, eV per atom: -2.79
M_tot, μB/f.u.: 0.55
ΔE to the lowest computed polymorph, meV per atom: 730
Uncorrected formation energy, kJ/mol of formula units: 287

Lattice parameters (Å, degrees): 5.551 5.551 5.551 133.84 133.84 67.34
Positions (direct):
Ta: 0.000 0.000 0.000
Hg: 0.500 0.500 0.000
Hg: 0.750 0.250 0.500
Br: 0.250 0.750 0.500


Compound: TaHgBr
Source: the Alexandria database
Functional: PBE
Structure: optimized geometry

Summary:
DFT total energy, eV per atom: -4.31
M_tot, μB/f.u.: 0.00
ΔE to the lowest computed polymorph, meV per atom: 231
Uncorrected formation energy, kJ/mol of formula units: 87

Lattice parameters (Å, degrees): 8.610 8.261 3.285 84.82 72.85 22.33
Positions (direct):
Ta: 0.000 0.000 0.000
Hg: 0.349 0.349 0.651
Br: 0.628 0.628 0.372


Compound: TaHg4Br
Source: the Alexandria database
Functional: PBE
Structure: optimized geometry

Summary:
DFT total energy, eV per atom: -1.71
M_tot, μB/f.u.: 2.80
Uncorrected formation energy, kJ/mol of formula units: 432

Lattice parameters (Å, degrees): 5.948 5.948 5.948 60.00 60.00 60.00
Positions (direct):
Ta: 0.000 0.000 0.000
Hg: 0.375 0.375 0.375
Hg: 0.375 0.375 0.876
Hg: 0.375 0.876 0.375
Hg: 0.876 0.375 0.375
Br: 0.750 0.750 0.750


Compound: TaHg2Br
Source: the Alexandria database
Functional: PBE
Structure: optimized geometry

Summary:
DFT total energy, eV per atom: -3.38
M_tot, μB/f.u.: 0.00
ΔE to the lowest computed polymorph, meV per atom: 137
Uncorrected formation energy, kJ/mol of formula units: 58

Lattice parameters (Å, degrees): 5.360 5.360 7.550 100.23 100.23 87.53
Positions (direct):
Ta: 0.000 0.000 0.000
Ta: 0.655 0.655 0.001
Hg: 0.110 0.484 0.873
Hg: 0.484 0.110 0.873
Hg: 0.521 0.521 0.609
Hg: 0.947 0.947 0.604
Br: 0.390 0.891 0.259
Br: 0.891 0.390 0.259


Compound: TaHg2Br
Source: the Alexandria database
Functional: PBE
Structure: optimized geometry

Summary:
DFT total energy, eV per atom: -3.20
M_tot, μB/f.u.: 0.00
ΔE to the lowest computed polymorph, meV per atom: 321
Uncorrected formation energy, kJ/mol of formula units: 129

Lattice parameters (Å, degrees): 3.223 4.679 6.030 90.00 105.29 90.00
Positions (direct):
Ta: 0.000 0.000 0.000
Hg: 0.386 0.500 0.768
Hg: 0.740 0.000 0.486
Br: 0.107 0.500 0.216


Compound: TaHg2Br
Source: the Alexandria database
Functional: PBE
Structure: optimized geometry

Summary:
DFT total energy, eV per atom: -3.10
M_tot, μB/f.u.: 0.00
ΔE to the lowest computed polymorph, meV per atom: 422
Uncorrected formation energy, kJ/mol of formula units: 168

Lattice parameters (Å, degrees): 3.143 3.143 9.200 90.00 90.00 90.00
Positions (direct):
Ta: 0.000 0.000 0.000
Hg: 0.500 0.500 0.218
Hg: 0.500 0.500 0.782
Br: 0.000 0.000 0.500


Compound: TaHg2Br
Source: the Alexandria database
Functional: PBE
Structure: optimized geometry

Summary:
DFT total energy, eV per atom: -3.51
M_tot, μB/f.u.: 0.00
ΔE to the lowest computed polymorph, meV per atom: 5
Uncorrected formation energy, kJ/mol of formula units: 7

Lattice parameters (Å, degrees): 3.232 3.233 11.006 86.45 86.71 60.04
Positions (direct):
Ta: 0.000 0.000 0.000
Hg: 0.692 0.700 0.786
Hg: 0.724 0.740 0.513
Br: 0.313 0.308 0.169


Compound: TaHg2Br
Source: the Alexandria database
Functional: PBE
Structure: optimized geometry

Summary:
DFT total energy, eV per atom: -3.33
M_tot, μB/f.u.: 0.00
ΔE to the lowest computed polymorph, meV per atom: 187
Uncorrected formation energy, kJ/mol of formula units: 77

Lattice parameters (Å, degrees): 3.294 3.294 11.373 90.00 90.00 124.23
Positions (direct):
Ta: 0.000 0.000 0.000
Hg: 0.000 0.000 0.531
Hg: 0.500 0.500 0.782
Br: 0.500 0.500 0.184


Compound: TaHg2Br8
Source: the Alexandria database
Functional: PBE
Structure: optimized geometry

Summary:
DFT total energy, eV per atom: -2.92
M_tot, μB/f.u.: 1.02
Uncorrected formation energy, kJ/mol of formula units: -608

Lattice parameters (Å, degrees): 7.466 7.466 10.727 108.08 108.08 58.82
Positions (direct):
Ta: 0.000 0.000 0.000
Hg: 0.164 0.164 0.370
Hg: 0.836 0.836 0.630
Br: 0.044 0.044 0.779
Br: 0.097 0.615 0.895
Br: 0.355 0.355 0.537
Br: 0.385 0.903 0.105
Br: 0.615 0.097 0.895
Br: 0.645 0.645 0.463
Br: 0.903 0.385 0.105
Br: 0.956 0.956 0.221